The following is a DFT calculation (PBE) of an optimized crystal structure of BeZnSe2N.

Structure (POSCAR):
```
BeZnSe2N
1.0
5.049 0.000 0.000
0.000 5.049 0.000
0.000 0.000 3.597
Be Zn Se N
1 1 2 1
Cartesian
0.000 0.000 0.000
2.524 2.524 1.798
0.000 2.524 1.798
2.524 0.000 1.798
2.524 2.524 0.000
```

Output
Excess energy over the best structure of this formula in the dataset ... 800.1 meV/atom
Raw total energy ... -2.863 eV/atom
Formation energy (no corrections) ... 27.57 kcal/mol of atoms

The following is a DFT calculation (PBE) of an optimized crystal structure of BeZnSe2N.

Structure (POSCAR):
```
BeZnSe2N
1.0
5.200 0.000 0.000
0.000 5.200 0.000
0.000 0.000 2.993
Be Zn Se N
1 1 2 1
Cartesian
0.000 0.000 0.000
2.600 2.600 1.497
0.000 2.600 0.000
2.600 0.000 0.000
0.000 0.000 1.497
```

Output
Excess energy over the best structure of this formula in the dataset ... 0.0 meV/atom
Raw total energy ... -3.663 eV/atom
Formation energy (no corrections) ... 9.12 kcal/mol of atoms

The following is a DFT calculation (PBE) of an optimized crystal structure of ZrBeSeN2.

Structure (POSCAR):
```
ZrBeSeN2
1.0
3.685 0.000 0.000
0.000 3.685 0.000
0.000 0.000 4.634
Zr Be Se N
1 1 1 2
Cartesian
0.000 0.000 0.000
1.843 1.843 2.317
1.843 1.843 0.000
0.000 1.843 2.317
1.843 0.000 2.317
```

Output
Excess energy over the best structure of this formula in the dataset ... 0.0 meV/atom
Raw total energy ... -6.054 eV/atom
Formation energy (no corrections) ... 9.88 kcal/mol of atoms

Please write out number 1 again, unchanged.
The following is a DFT calculation (PBE) of an optimized crystal structure of BeZnSe2N.

Structure (POSCAR):
```
BeZnSe2N
1.0
5.049 0.000 0.000
0.000 5.049 0.000
0.000 0.000 3.597
Be Zn Se N
1 1 2 1
Cartesian
0.000 0.000 0.000
2.524 2.524 1.798
0.000 2.524 1.798
2.524 0.000 1.798
2.524 2.524 0.000
```

Output
Excess energy over the best structure of this formula in the dataset ... 800.1 meV/atom
Raw total energy ... -2.863 eV/atom
Formation energy (no corrections) ... 27.57 kcal/mol of atoms